Material: GdHoMg6
Method: DFT, PBE-GGA
State: optimized geometry

Results
Calculated density, g cm⁻³: 3.97
Total moment, μB per cell: 0.0

Cell: 5.171 7.313 5.172 Å, 90.00 90.00 90.00°
Fractional positions:
Gd1 0.000 0.000 0.746
Mg1 0.000 0.252 0.246
Mg2 0.500 0.000 0.253
Mg3 0.000 0.500 0.747
Mg4 0.000 0.748 0.246
Mg5 0.500 0.748 0.755
Ho1 0.500 0.500 0.254
Mg6 0.500 0.252 0.755



Material: GdHoMg
Method: DFT, PBE-GGA
State: optimized geometry

Results
Calculated density, g cm⁻³: 6.65
E above lowest polymorph, kJ/mol of formula units: 0
Total moment, μB per cell: 0.1

Cell: 8.765 8.765 5.478 Å, 90.00 90.00 155.71°
Fractional positions:
Gd1 0.091 0.909 0.250
Ho1 0.227 0.773 0.750
Ho2 0.773 0.227 0.250
Mg1 0.433 0.567 0.250
Mg2 0.567 0.433 0.750
Gd2 0.909 0.091 0.750



Calculated total energy, respectively: -19.1; -21.9 eV per cell.